! Ac7Sn2Ir2, relaxed, DFT PBE; values from VASP
&SYSTEM
  ibrav = 0, nat = 11, ntyp = 3
/
ATOMIC_SPECIES
Ir 192.22 Ir.upf
Ac 227.00 Ac.upf
Sn 118.71 Sn.upf
CELL_PARAMETERS angstrom
4.523 0.000 0.970
1.356 8.585 4.707
0.247 -0.269 9.877
ATOMIC_POSITIONS crystal
Ir 0.500 0.350 0.650
Ir 0.000 0.795 0.205
Ac 0.500 0.999 0.001
Ac 0.824 0.049 0.303
Ac 0.395 0.712 0.499
Ac 0.176 0.697 0.951
Ac 0.119 0.171 0.591
Ac 0.881 0.409 0.829
Ac 0.605 0.501 0.288
Sn 0.270 0.316 0.145
Sn 0.730 0.855 0.684
! - Total magnetic moment: 0.00 μB per atom
! - E: -5.46 eV/atom

***

! AgSn2BiSe4, relaxed, DFT PBE; values from VASP
&SYSTEM
  ibrav = 0, nat = 8, ntyp = 4
/
ATOMIC_SPECIES
Se 78.96 Se.upf
Bi 208.98 Bi.upf
Ag 107.87 Ag.upf
Sn 118.71 Sn.upf
CELL_PARAMETERS angstrom
-0.529 -3.445 -2.455
7.202 -0.901 -0.287
-2.639 -3.638 5.674
ATOMIC_POSITIONS crystal
Se 0.500 0.758 0.758
Se 0.000 0.243 0.758
Se 0.000 0.757 0.242
Se 0.500 0.242 0.242
Bi 0.500 0.500 0.000
Ag 0.000 0.000 0.000
Sn 0.000 0.500 0.500
Sn 0.500 0.000 0.500
! - Total magnetic moment: 0.00 μB per atom
! - Uncorrected formation energy: -0.326 eV per atom
! - E: -3.91 eV/atom

***

! MnCuAg4, relaxed, DFT PBE; values from VASP
&SYSTEM
  ibrav = 0, nat = 6, ntyp = 3
/
ATOMIC_SPECIES
Ag 107.87 Ag.upf
Cu 63.55 Cu.upf
Mn 54.94 Mn.upf
CELL_PARAMETERS angstrom
0.000 3.818 3.818
3.818 0.000 3.818
3.818 3.818 0.000
ATOMIC_POSITIONS crystal
Ag 0.375 0.875 0.375
Ag 0.375 0.375 0.875
Ag 0.875 0.375 0.375
Ag 0.375 0.375 0.375
Cu 0.750 0.750 0.750
Mn 0.000 0.000 0.000
! - Total magnetic moment: 0.73 μB per atom
! - E: -3.68 eV/atom

***

! Ag2HPd3, relaxed, DFT PBE; values from VASP
&SYSTEM
  ibrav = 0, nat = 12, ntyp = 3
/
ATOMIC_SPECIES
Pd 106.42 Pd.upf
Ag 107.87 Ag.upf
H 1.01 H.upf
CELL_PARAMETERS angstrom
-2.272 -0.149 4.425
0.207 -5.459 1.816
6.908 2.988 -0.923
ATOMIC_POSITIONS crystal
Pd 0.499 0.752 0.000
Pd 0.895 0.548 0.798
Pd 0.093 0.951 0.197
Pd 0.501 0.248 0.000
Pd 0.907 0.049 0.803
Pd 0.105 0.452 0.202
Ag 0.696 0.148 0.397
Ag 0.304 0.852 0.603
Ag 0.704 0.652 0.404
Ag 0.296 0.348 0.596
H 0.753 0.356 0.942
H 0.247 0.644 0.058
! - Total magnetic moment: 0.00 μB per atom
! - E: -4.16 eV/atom

***

total magnetic moment of number 4 (Ag2HPd3)?
0.00 μB per atom